A geometry-optimized Hf5Os4Ru structure. Source: the Alexandria database, functional PBE-GGA.

Cell: 3.2507 3.2507 16.2559 Å, 90.00 90.00 90.00°
Last column: nearest neighbours and their distance in Å.
Fractional positions:
Hf (0.5000, 0.5000, 0.5000)  8 Os 2.82
Hf (0.5000, 0.5000, 0.7003)  8 Os 2.82
Hf (0.5000, 0.5000, 0.0994)  4 Ru 2.81, 4 Os 2.81
Hf (0.5000, 0.5000, 0.9006)  4 Ru 2.81, 4 Os 2.81
Hf (0.5000, 0.5000, 0.2997)  8 Os 2.82
Ru (0.0000, 0.0000, 0.0000)  8 Hf 2.81
Os (0.0000, 0.0000, 0.8008)  8 Hf 2.81-2.82
Os (0.0000, 0.0000, 0.6002)  8 Hf 2.82
Os (0.0000, 0.0000, 0.1992)  8 Hf 2.81-2.82
Os (0.0000, 0.0000, 0.3998)  8 Hf 2.82

Values from the calculation:
Space-group type: P4/mmm, No. 123
Volume: 171.77 Å³/cell
E_form: -0.7242 eV per atom
Magnetization: 0.00 μB per cell
DOS(E_F): 0.21 states/eV/atom



A geometry-optimized DyTlCuPt structure. Source: the Alexandria database, functional PBE-GGA.

Cell: 4.8157 4.8157 4.8157 Å, 60.00 60.00 60.00°
Last column: nearest neighbours and their distance in Å.
Fractional positions:
Pt (0.7500, 0.7500, 0.7500)  4 Tl 2.95, 4 Dy 2.95
Cu (0.2500, 0.2500, 0.2500)  4 Dy 2.95, 4 Tl 2.95
Dy (0.0000, 0.0000, 0.0000)  4 Cu 2.95, 4 Pt 2.95
Tl (0.5000, 0.5000, 0.5000)  4 Pt 2.95, 4 Cu 2.95

Values from the calculation:
Space-group type: F-43m, No. 216
Volume: 78.97 Å³/cell
E_form: -0.4579 eV per atom
Magnetization: 0.00 μB per cell
DOS(E_F): 0.55 states/eV/atom